DFT (PBE with a Hubbard U) results for a relaxed Rb2NiTeO4 crystal. Values from VASP.

Summary:
The calculation puts the uncorrected energy at -4.6171 eV per atom. For the theoretical density, the calculation gives 4.4 g/cm³. Its density of states at the Fermi level is 0.00 states/eV/atom.

The structure in Quantum ESPRESSO input format:
```
&SYSTEM
  ibrav = 0, nat = 8, ntyp = 4
/
ATOMIC_SPECIES
O 16.00 O.upf
Rb 85.47 Rb.upf
Te 127.60 Te.upf
Ni 58.69 Ni.upf
CELL_PARAMETERS angstrom
6.4695 1.3653 0.7233
1.2494 6.6736 -0.6895
-3.4628 -4.3573 3.8957
ATOMIC_POSITIONS crystal
O 0.8792 0.7546 0.7426
O 0.7432 0.4204 0.0411
O 0.3515 0.6118 0.2756
O 0.9858 0.0223 0.6219
Rb 0.1704 0.2386 0.5127
Rb 0.5168 0.0370 0.0181
Te 0.6999 0.8155 0.4628
Ni 0.0402 0.4869 0.0993
```